# 1
Material: ThCoNi4
Method: DFT, PBE-GGA
State: optimized geometry

a = 7.0397 Å, b = 3.8131 Å, c = 6.3739 Å
α = 90.00°, β = 90.00°, γ = 90.00°
With the nearest neighbours (Å) after each atom.
Space group Pmma (No. 51)
Asymmetric unit:
Th 0.2500 0.0000 0.1355  1 Co 2.59, 6 Ni 2.89
Co 0.2500 0.0000 0.7288  8 Ni 2.29-2.50
Ni 0.0000 0.0000 0.5000  2 Co 2.29
Ni 0.0515 0.5000 0.7932  2 Co 2.40, 1 Ni 2.46
Ni 0.2500 0.5000 0.4754  8 Ni 2.46-2.73, 2 Co 2.50

Calculated values
**Mass density**: 10.2 g cm⁻³
**ΔE_f**: -0.16 eV/atom


# 2
Material: Th2Co5Ni5
Method: DFT, PBE-GGA
State: optimized geometry

a = 4.0411 Å, b = 4.8610 Å, c = 8.6506 Å
α = 90.00°, β = 90.00°, γ = 90.00°
With the nearest neighbours (Å) after each atom.
Space group Pmmm (No. 47)
Asymmetric unit:
Th 0.0000 0.0000 0.0000  10 Ni 2.83-3.16
Th 0.0000 0.5000 0.5000  6 Ni 2.84-2.88, 12 Co 3.16-3.17
Co 0.5000 0.0000 0.5000  4 Co 2.46, 4 Ni 2.50
Co 0.5000 0.2526 0.2540  3 Co 2.41-2.46, 5 Ni 2.45-2.50
Ni 0.0000 0.0000 0.3303  6 Co 2.45-2.50
Ni 0.0000 0.5000 0.1675  4 Co 2.47, 2 Ni 2.49
Ni 0.5000 0.5000 0.0000  4 Ni 2.49, 4 Co 2.50

Calculated values
**Mass density**: 10.3 g cm⁻³
**ΔE_f**: -0.27 eV/atom


# 3
Material: Th3Co2Ni3
Method: DFT, PBE-GGA
State: optimized geometry

a = 3.8617 Å, b = 9.6391 Å, c = 15.8160 Å
α = 90.00°, β = 90.00°, γ = 90.00°
With the nearest neighbours (Å) after each atom.
Space group Cmcm (No. 63)
Asymmetric unit:
Th 0.0000 0.0628 0.1025  3 Co 2.68-2.91, 3 Ni 2.88-2.97
Th 0.0000 0.3461 0.2500  3 Ni 2.70-2.87, 4 Co 2.89
Co 0.0000 0.2137 0.6189  4 Ni 2.47-2.59, 1 Th 2.68
Ni 0.0000 0.3341 0.0256  3 Co 2.47-2.56, 2 Ni 2.65
Ni 0.0000 0.3739 0.7500  2 Co 2.59, 3 Th 2.70-2.87

Calculated values
**Mass density**: 11.2 g cm⁻³
**ΔE_f**: -0.32 eV/atom
**E above lowest polymorph**: 0.13 eV/f.u.


# 4
Material: Th8Co2Ni
Method: DFT, PBE-GGA
State: optimized geometry

a = 7.8361 Å, b = 13.1910 Å, c = 6.0751 Å
α = 90.00°, β = 108.35°, γ = 90.00°
With the nearest neighbours (Å) after each atom.
Space group Cm (No. 8)
Asymmetric unit:
Th 0.0000 0.0000 0.0000  1 Ni 2.86
Th 0.0870 0.3714 0.7928  1 Co 2.58, 1 Ni 2.89
Th 0.1211 0.1279 0.5734  2 Co 2.64-2.68
Th 0.2124 0.5000 0.3558  1 Ni 3.09, 2 Co 3.22
Th 0.3845 0.2112 0.1874  2 Co 3.09-3.39, 1 Ni 3.10, 2 Th 3.27-3.44
Co 0.3265 0.2909 0.6374  3 Th 2.58-2.68
Ni 0.3528 0.0000 0.9548  8 Th 2.86-3.10

Calculated values
**Mass density**: 11.3 g cm⁻³
**ΔE_f**: -0.04 eV/atom


# 5
Material: Th3Co2Ni4
Method: DFT, PBE-GGA
State: optimized geometry

a = 10.4039 Å, b = 4.0547 Å, c = 8.0483 Å
α = 90.00°, β = 103.47°, γ = 90.00°
With the nearest neighbours (Å) after each atom.
Space group C2/m (No. 12)
Asymmetric unit:
Th 0.0000 0.0000 0.0000  8 Ni 3.02-3.04, 4 Co 3.04
Th 0.1679 0.5000 0.6646  8 Ni 3.02-3.08, 4 Co 3.03-3.04
Co 0.1102 0.5000 0.2775  3 Ni 2.33-2.34
Ni 0.0540 0.0000 0.3864  2 Co 2.34, 1 Ni 2.36
Ni 0.2215 0.5000 0.0574  1 Co 2.33, 2 Ni 2.36

Calculated values
**Mass density**: 10.5 g cm⁻³
**ΔE_f**: -0.35 eV/atom


# 6
Material: Th3Co3Ni2
Method: DFT, PBE-GGA
State: optimized geometry

a = 4.0911 Å, b = 10.4484 Å, c = 14.1535 Å
α = 90.00°, β = 90.00°, γ = 90.00°
With the nearest neighbours (Å) after each atom.
Space group Cmcm (No. 63)
Asymmetric unit:
Th 0.0000 0.0761 0.2500  3 Co 2.76-2.78, 4 Ni 2.93
Th 0.0000 0.3617 0.0952  4 Ni 2.97-3.11, 7 Co 3.00-3.11
Co 0.0000 0.0787 0.0535  1 Co 2.24, 2 Ni 2.37
Co 0.0000 0.1881 0.7500  2 Ni 2.50, 1 Th 2.76
Ni 0.0000 0.3420 0.6151  3 Co 2.37-2.50

Calculated values
**Mass density**: 10.9 g cm⁻³
**ΔE_f**: -0.29 eV/atom


# 7
Material: Th3Co8Ni
Method: DFT, PBE-GGA
State: optimized geometry

a = 5.0467 Å, b = 5.0467 Å, c = 24.7500 Å
α = 90.00°, β = 90.00°, γ = 120.00°
With the nearest neighbours (Å) after each atom.
Space group R3m (No. 160, hexagonal axes)
Asymmetric unit:
Th 0.0000 0.0000 0.0000  12 Co 2.74-3.05, 3 Ni 2.94
Th 0.0000 0.0000 0.1331  12 Co 2.97-3.01, 4 Th 3.29
Th 0.0000 0.0000 0.5285  9 Co 2.75-3.07, 1 Ni 3.01
Co 0.0000 0.0000 0.3204  6 Co 2.47-2.51
Co 0.0000 0.0000 0.8225  6 Co 2.54-2.58
Co 0.1670 0.3341 0.4029  6 Co 2.51-2.58, 1 Ni 2.58
Co 0.1676 0.3352 0.9063  6 Co 2.47-2.54, 3 Th 2.74-2.75
Ni 0.0000 0.0000 0.6503  3 Co 2.58

Calculated values
**Mass density**: 11.2 g cm⁻³
**ΔE_f**: -0.14 eV/atom


# 8
Material: Th2CoNi
Method: DFT, PBE-GGA
State: optimized geometry

a = 4.9178 Å, b = 4.9178 Å, c = 3.4797 Å
α = 90.00°, β = 90.00°, γ = 90.00°
With the nearest neighbours (Å) after each atom.
Space group P4/mmm (No. 123)
Asymmetric unit:
Th 0.0000 0.5000 0.0000  4 Co 3.01, 4 Ni 3.01
Co 0.0000 0.0000 0.5000  8 Th 3.01
Ni 0.5000 0.5000 0.5000  8 Th 3.01

Calculated values
**Mass density**: 11.5 g cm⁻³
**ΔE_f**: -0.18 eV/atom
**E above lowest polymorph**: 0.87 eV/f.u.


# 9
Material: Th3Co2Ni
Method: DFT, PBE-GGA
State: optimized geometry

a = 7.1591 Å, b = 7.1591 Å, c = 17.9389 Å
α = 90.00°, β = 90.00°, γ = 120.00°
With the nearest neighbours (Å) after each atom.
Space group R-3c (No. 167, hexagonal axes)
Asymmetric unit:
Th 0.0000 0.3023 0.2500  4 Co 2.75-2.86, 2 Ni 2.92
Co 0.0000 0.0000 0.1462  1 Ni 2.62, 6 Th 2.75-2.86
Ni 0.0000 0.0000 0.0000  2 Co 2.62, 6 Th 2.92

Calculated values
**Mass density**: 10.9 g cm⁻³
**ΔE_f**: -0.29 eV/atom


# 10
Material: Th4CoNi3
Method: DFT, PBE-GGA
State: optimized geometry

a = 3.7227 Å, b = 4.2344 Å, c = 10.9503 Å
α = 90.00°, β = 90.00°, γ = 90.00°
With the nearest neighbours (Å) after each atom.
Space group Pmm2 (No. 25)
Asymmetric unit:
Th 0.0000 0.0000 0.0000  5 Ni 2.87-3.15, 2 Co 3.10
Th 0.0000 0.5000 0.2661  4 Co 2.85, 3 Ni 3.01-3.11
Th 0.5000 0.0000 0.4943  6 Ni 2.88-3.03, 1 Co 2.94
Th 0.5000 0.5000 0.7681  7 Ni 2.88-3.08
Co 0.5000 0.0000 0.2260  7 Th 2.85-3.10, 2 Ni 2.86
Ni 0.0000 0.0000 0.7122  2 Ni 2.76, 6 Th 2.88-3.03
Ni 0.0000 0.5000 0.5499  2 Ni 2.76, 6 Th 2.88-3.03
Ni 0.5000 0.5000 0.0498  2 Co 2.86, 7 Th 2.87-3.08

Calculated values
**Mass density**: 11.2 g cm⁻³
**ΔE_f**: -0.40 eV/atom


# 11
Material: Th2CoNi9
Method: DFT, PBE-GGA
State: optimized geometry

a = 4.9440 Å, b = 4.9440 Å, c = 24.3612 Å
α = 90.00°, β = 90.00°, γ = 120.00°
With the nearest neighbours (Å) after each atom.
Space group R-3m (No. 166, hexagonal axes)
Asymmetric unit:
Th 0.0000 0.0000 0.1292  9 Ni 2.75-3.00
Co 0.0000 0.0000 0.0000  18 Ni 2.85-3.15, 2 Th 3.15
Ni 0.0000 0.0000 0.3330  6 Ni 2.41-2.43
Ni 0.0000 0.0000 0.5000  6 Ni 2.55
Ni 0.0013 0.5007 0.9198  7 Ni 2.41-2.55

Calculated values
**Mass density**: 10.2 g cm⁻³
**ΔE_f**: -0.11 eV/atom


# 12
Material: Th4Co2Ni
Method: DFT, PBE-GGA
State: optimized geometry

a = 8.7025 Å, b = 8.7025 Å, c = 8.4904 Å
α = 90.00°, β = 90.00°, γ = 90.00°
With the nearest neighbours (Å) after each atom.
Space group I-42d (No. 122)
Asymmetric unit:
Th 0.0521 0.6962 0.4216  2 Co 2.65-2.72, 1 Ni 2.76
Co 0.1314 0.7500 0.1250  4 Th 2.65-2.72
Ni 0.0000 0.0000 0.5000  4 Th 2.76

Calculated values
**Mass density**: 11.4 g cm⁻³
**ΔE_f**: -0.29 eV/atom


# 13
Material: ThTiCoNi
Method: DFT, PBE-GGA
State: optimized geometry

a = 7.2262 Å, b = 4.1806 Å, c = 5.3405 Å
α = 90.00°, β = 116.68°, γ = 90.00°
With the nearest neighbours (Å) after each atom.
Space group Cm (No. 8)
Asymmetric unit:
Th 0.0000 0.0000 0.0000  4 Ni 2.97-3.01, 4 Co 2.98-3.01
Ti 0.0031 0.5000 0.5100  3 Co 2.48, 3 Ni 2.49
Co 0.2097 0.0000 0.6303  3 Ti 2.48, 3 Ni 2.69-2.70
Ni 0.2926 0.5000 0.3774  3 Ti 2.49, 3 Co 2.69-2.70

Calculated values
**Mass density**: 9.2 g cm⁻³
**ΔE_f**: -0.34 eV/atom


# 14
Material: Th2V3Co12Ni
Method: DFT, PBE-GGA
State: optimized geometry

a = 6.0051 Å, b = 6.0051 Å, c = 24.9021 Å
α = 90.00°, β = 90.00°, γ = 120.00°
With the nearest neighbours (Å) after each atom.
Space group R-3m (No. 166, hexagonal axes)
Asymmetric unit:
Th 0.0000 0.0000 0.1633  6 Co 2.81-3.08
V 0.0000 0.5000 0.0000  6 Co 2.34-2.35
Co 0.0617 0.5309 0.0933  1 Ni 2.31, 4 Co 2.31-2.45, 1 V 2.35
Co 0.0708 0.5354 0.6142  4 Co 2.31-2.36, 2 V 2.34
Ni 0.0000 0.0000 0.5000  6 Co 2.31

Calculated values
**Mass density**: 8.9 g cm⁻³
**ΔE_f**: 0.28 eV/atom


# 15
Material: YThCoNi
Method: DFT, PBE-GGA
State: optimized geometry

a = 6.8619 Å, b = 6.8619 Å, c = 6.8619 Å
α = 90.00°, β = 90.00°, γ = 90.00°
With the nearest neighbours (Å) after each atom.
Space group F-43m (No. 216)
Asymmetric unit:
Y 0.0000 0.0000 0.0000  4 Ni 2.97, 4 Co 2.97
Th 0.0000 0.0000 0.5000  4 Co 2.97, 4 Ni 2.97
Co 0.2500 0.2500 0.2500  4 Th 2.97, 4 Y 2.97
Ni 0.2500 0.2500 0.7500  4 Th 2.97, 4 Y 2.97

Calculated values
**Mass density**: 9.0 g cm⁻³
**ΔE_f**: -0.22 eV/atom
**E above lowest polymorph**: 0.62 eV/f.u.


# 16
Material: YThCoNi
Method: DFT, PBE-GGA
State: optimized geometry

a = 4.0952 Å, b = 3.7059 Å, c = 10.7981 Å
α = 90.00°, β = 90.00°, γ = 90.00°
With the nearest neighbours (Å) after each atom.
Space group Amm2 (No. 38)
Asymmetric unit:
Y 0.0000 0.0000 0.0000  4 Ni 2.86, 3 Co 2.95-3.07
Th 0.5000 0.0000 0.7285  4 Co 2.80, 2 Ni 2.88
Co 0.0000 0.0000 0.2733  2 Ni 2.68, 4 Th 2.80, 1 Y 2.95
Ni 0.5000 0.0000 0.4328  2 Co 2.68, 4 Y 2.86, 2 Th 2.88

Calculated values
**Mass density**: 8.9 g cm⁻³
**ΔE_f**: -0.38 eV/atom
**E above lowest polymorph**: 0.00 eV/f.u.


# 17
Material: Th2ZnCoNi
Method: DFT, PBE-GGA
State: optimized geometry

a = 7.0866 Å, b = 4.0330 Å, c = 7.7510 Å
α = 90.00°, β = 110.63°, γ = 90.00°
With the nearest neighbours (Å) after each atom.
Space group P2_1/m (No. 11)
Asymmetric unit:
Th 0.0552 0.2500 0.3261  3 Co 2.81-3.06, 3 Ni 2.90-2.93
Th 0.3406 0.7500 0.1015  1 Ni 2.68, 3 Co 2.71-2.90
Zn 0.4033 0.7500 0.5767  2 Ni 2.68, 2 Zn 2.92
Co 0.0832 0.2500 0.9406  1 Ni 2.43, 2 Co 2.66, 2 Th 2.71
Ni 0.2596 0.2500 0.7231  1 Co 2.43, 1 Th 2.68, 2 Zn 2.68

Calculated values
**Mass density**: 10.4 g cm⁻³
**ΔE_f**: -0.27 eV/atom


# 18
Material: Th2ZnCo2Ni5
Method: DFT, PBE-GGA
State: optimized geometry

a = 8.7656 Å, b = 8.7656 Å, c = 3.8735 Å
α = 90.00°, β = 90.00°, γ = 90.00°
With the nearest neighbours (Å) after each atom.
Space group P4/mbm (No. 127)
Asymmetric unit:
Th 0.1760 0.3240 0.0000  3 Co 2.48-2.67
Zn 0.0000 0.0000 0.0000  8 Ni 2.69
Co 0.1242 0.6242 0.0000  6 Ni 2.47-2.51, 3 Th 2.48-2.67
Ni 0.0000 0.5000 0.5000  4 Co 2.47, 4 Ni 2.66
Ni 0.0644 0.7963 0.5000  2 Co 2.51, 3 Ni 2.65-2.66, 2 Zn 2.69

Calculated values
**Mass density**: 10.5 g cm⁻³
**ΔE_f**: -0.28 eV/atom


# 19
Material: Th2Zn3CoNi12
Method: DFT, PBE-GGA
State: optimized geometry

a = 6.1269 Å, b = 6.1269 Å, c = 24.7476 Å
α = 90.00°, β = 90.00°, γ = 120.00°
With the nearest neighbours (Å) after each atom.
Space group R-3m (No. 166, hexagonal axes)
Asymmetric unit:
Th 0.0000 0.0000 0.1520  6 Ni 2.83-2.85
Zn 0.0000 0.5000 0.0000  6 Ni 2.36-2.48
Co 0.0000 0.0000 0.5000  6 Ni 2.27
Ni 0.0412 0.5206 0.0998  1 Co 2.27, 2 Ni 2.41, 1 Zn 2.48
Ni 0.0749 0.5375 0.6158  2 Zn 2.36, 4 Ni 2.37-2.41

Calculated values
**Mass density**: 8.8 g cm⁻³
**ΔE_f**: 0.08 eV/atom


# 20
Material: Ti2CoNi5
Method: DFT, PBE-GGA
State: optimized geometry

a = 5.1129 Å, b = 10.2237 Å, c = 3.5797 Å
α = 90.00°, β = 90.00°, γ = 90.00°
With the nearest neighbours (Å) after each atom.
Space group Pbam (No. 55)
Asymmetric unit:
Ti 0.2390 0.1216 0.0000  2 Co 2.50, 10 Ni 2.53-2.58
Co 0.0000 0.0000 0.5000  4 Ti 2.50, 8 Ni 2.56
Ni 0.0000 0.5000 0.5000  6 Ni 2.53-2.55, 4 Ti 2.56, 2 Co 2.56
Ni 0.0093 0.7496 0.5000  7 Ni 2.53-2.56, 4 Ti 2.56, 1 Co 2.56
Ni 0.2440 0.3740 0.0000  4 Ti 2.53-2.58, 6 Ni 2.53-2.55, 2 Co 2.56

Calculated values
**Mass density**: 8.0 g cm⁻³
**ΔE_f**: -0.44 eV/atom


# 21
Material: TiCoNi6
Method: DFT, PBE-GGA
State: optimized geometry

a = 5.0493 Å, b = 5.0493 Å, c = 3.5637 Å
α = 90.00°, β = 90.00°, γ = 90.00°
With the nearest neighbours (Å) after each atom.
Space group P4/mmm (No. 123)
Asymmetric unit:
Ti 0.0000 0.0000 0.0000  12 Ni 2.52-2.55
Co 0.5000 0.5000 0.0000  12 Ni 2.50-2.52
Ni 0.0000 0.5000 0.0000  8 Ni 2.52, 2 Co 2.52, 2 Ti 2.52
Ni 0.2547 0.2547 0.5000  8 Ni 2.48-2.57, 2 Co 2.50, 2 Ti 2.55

Calculated values
**Mass density**: 8.4 g cm⁻³
**ΔE_f**: -0.19 eV/atom
**E above lowest polymorph**: 0.00 eV/f.u.